Entry from Alexandria via LeMat-Bulk: an optimized crystal structure of BeReHg2 (PBE-GGA).

a = 7.412 Å, b = 7.412 Å, c = 7.412 Å
α = 153.63°, β = 156.16°, γ = 35.84°
Positions (direct):
Re  0.250  0.750  0.500
Hg  0.921  0.921  0.000
Hg  0.579  0.579  0.000
Be  0.750  0.250  0.500

The calculation puts the energy relative to the elements at 53.46 kJ/mol of atoms. The total DFT energy (no corrections) is -3.64 eV/atom. Its calculated volume is 73 Å³/cell. The space-group type is Immm. The calculated density is 13.56 g/cm3.